# SrGa4Ag

An optimized crystal structure of SrGa4Ag (PBE, Alexandria via LeMat-Bulk).

```
SrGa4Ag
1.0
0.000 4.009 4.009
4.009 0.000 4.009
4.009 4.009 0.000
Sr Ga Ag
1 4 1
direct
0.000 0.000 0.000
0.376 0.376 0.376
0.376 0.376 0.873
0.376 0.873 0.376
0.873 0.376 0.376
0.750 0.750 0.750
```

Values from the calculation:
Fermi-level density of states = 2.505 states/eV/cell
energy of formation from the pure elements = -1.0 eV per formula unit

# SbSe

An optimized crystal structure of SbSe (PBE, Alexandria via LeMat-Bulk).

```
SbSe
1.0
1.922 -3.408 0.000
1.922 3.408 0.000
0.000 0.000 4.199
Sb Se
1 1
direct
0.000 0.000 0.000
0.500 0.500 0.500
```

Values from the calculation:
Fermi-level density of states = 1.077 states/eV/cell
E_tot = -7.3 eV for the cell shown

# Y2Mn2Co15

An optimized crystal structure of Y2Mn2Co15 (PBE, Alexandria via LeMat-Bulk).

```
Y2Mn2Co15
1.0
4.174 2.410 4.063
-4.174 2.410 4.063
0.000 -4.820 4.063
Y Mn Co
2 2 15
direct
0.152 0.152 0.152
0.848 0.848 0.848
0.396 0.396 0.396
0.604 0.604 0.604
0.000 0.500 0.500
0.151 0.151 0.653
0.151 0.653 0.151
0.213 0.500 0.787
0.213 0.787 0.500
0.347 0.849 0.849
0.500 0.000 0.500
0.500 0.213 0.787
0.500 0.500 0.000
0.500 0.787 0.213
0.653 0.151 0.151
0.787 0.213 0.500
0.787 0.500 0.213
0.849 0.347 0.849
0.849 0.849 0.347
```

Values from the calculation:
Fermi-level density of states = 20.187 states/eV/cell
energy of formation from the pure elements = -1.8 eV per formula unit
E above lowest polymorph = 0.0 meV per atom

# HfTiSb2S

An optimized crystal structure of HfTiSb2S (PBE, Alexandria via LeMat-Bulk).

```
HfTiSb2S
1.0
5.209 0.000 0.000
0.000 5.209 0.000
0.000 0.000 4.340
Hf Ti Sb S
1 1 2 1
direct
0.000 0.000 0.000
0.500 0.500 0.000
0.000 0.500 0.500
0.500 0.000 0.500
0.500 0.500 0.500
```

Values from the calculation:
Fermi-level density of states = 5.255 states/eV/cell
E_tot = -29.0 eV for the cell shown

# Dy3ErPd12

An optimized crystal structure of Dy3ErPd12 (PBE, Alexandria via LeMat-Bulk).

```
Dy3ErPd12
1.0
4.110 0.000 0.000
0.000 4.110 0.000
0.000 0.000 16.542
Dy Er Pd
3 1 12
direct
0.000 0.000 0.000
0.000 0.000 0.251
0.000 0.000 0.749
0.000 0.000 0.500
0.000 0.500 0.125
0.000 0.500 0.376
0.000 0.500 0.624
0.000 0.500 0.875
0.500 0.000 0.125
0.500 0.000 0.376
0.500 0.000 0.624
0.500 0.000 0.875
0.500 0.500 0.000
0.500 0.500 0.251
0.500 0.500 0.500
0.500 0.500 0.749
```

Values from the calculation:
Fermi-level density of states = 12.239 states/eV/cell
energy of formation from the pure elements = -14.1 eV per formula unit

What is the formula in the fourth record?
HfTiSb2S

What is the Fermi-level density of states in the first record?
2.505 states/eV/cell

Please write out number 1 again, unchanged.
# SrGa4Ag

An optimized crystal structure of SrGa4Ag (PBE, Alexandria via LeMat-Bulk).

```
SrGa4Ag
1.0
0.000 4.009 4.009
4.009 0.000 4.009
4.009 4.009 0.000
Sr Ga Ag
1 4 1
direct
0.000 0.000 0.000
0.376 0.376 0.376
0.376 0.376 0.873
0.376 0.873 0.376
0.873 0.376 0.376
0.750 0.750 0.750
```

Values from the calculation:
Fermi-level density of states = 2.505 states/eV/cell
energy of formation from the pure elements = -1.0 eV per formula unit